Record 1
PmY2Pu after structural relaxation. Source: Alexandria via LeMat-Bulk, functional PBE.

As for the density of states at the Fermi level: 4.08 states/eV/atom. Its total energy is -7.85 eV per atom. The density comes out at 7.4 g/cm3. As for the spin magnetization: 6.278 μB per formula unit. The value obtained for the formation enthalpy at 0 K is 0.155 eV/atom. As for the space group: P4/mmm, No. 123.

a = 5.047 Å, b = 5.010 Å, c = 5.010 Å
α = 90.00°, β = 90.00°, γ = 90.00°
Fractional coordinates of all 4 atoms:
Y 0.000 0.000 0.500
Y 0.000 0.500 0.000
Pm 0.500 0.500 0.500
Pu 0.500 0.000 0.000


Record 2
LaSi2TcMo after structural relaxation. Source: Alexandria via LeMat-Bulk, functional PBE.

Its uncorrected formation energy is -2.5 eV per formula unit. As for the density of states at the Fermi level: 0.77 states/eV/atom. Its total energy is -7.90 eV per atom. The density comes out at 7.0 g/cm3. As for the spin magnetization: 0.001 μB per formula unit. As for the space group: I-4m2, No. 119.

a = 4.110 Å, b = 4.110 Å, c = 6.221 Å
α = 109.29°, β = 109.29°, γ = 90.00°
Fractional coordinates of all 5 atoms:
La 0.000 0.000 0.000
Si 0.619 0.619 0.238
Si 0.381 0.381 0.762
Tc 0.750 0.250 0.500
Mo 0.250 0.750 0.500


Record 3
SrHf2AgF after structural relaxation. Source: Alexandria via LeMat-Bulk, functional PBE.

Its uncorrected formation energy is -1.3 eV per formula unit. As for the density of states at the Fermi level: 0.92 states/eV/atom. Its total energy is -5.53 eV per atom. The density comes out at 8.2 g/cm3. As for the spin magnetization: 0.000 μB per formula unit. As for the space group: P4/mmm, No. 123.

a = 4.458 Å, b = 5.799 Å, c = 4.458 Å
α = 90.00°, β = 90.00°, γ = 90.00°
Fractional coordinates of all 5 atoms:
Sr 0.500 0.500 0.500
Hf 0.000 0.000 0.500
Hf 0.500 0.000 0.000
Ag 0.000 0.500 0.000
F 0.000 0.000 0.000


Record 4
Li2ZrMn after structural relaxation. Source: Alexandria via LeMat-Bulk, functional PBE.

As for the density of states at the Fermi level: 0.75 states/eV/atom. Its total energy is -5.08 eV per atom. The density comes out at 3.8 g/cm3. As for the spin magnetization: 1.721 μB per formula unit. The value obtained for the formation enthalpy at 0 K is 0.305 eV/atom. As for the space group: C2/m, No. 12.

a = 5.828 Å, b = 5.828 Å, c = 3.029 Å
α = 77.07°, β = 77.07°, γ = 127.92°
Fractional coordinates of all 4 atoms:
Li 0.000 0.000 0.000
Li 0.500 0.500 0.000
Mn 0.500 0.000 0.500
Zr 0.000 0.500 0.500


Record 5
AcPr2Zn after structural relaxation. Source: Alexandria via LeMat-Bulk, functional PBE.

As for the density of states at the Fermi level: 1.24 states/eV/atom. Its total energy is -3.61 eV per atom. The density comes out at 7.4 g/cm3. As for the spin magnetization: 0.000 μB per formula unit. The value obtained for the formation enthalpy at 0 K is 0.122 eV/atom. As for the space group: Fm-3m, No. 225.

a = 5.674 Å, b = 5.674 Å, c = 5.674 Å
α = 60.00°, β = 60.00°, γ = 60.00°
Fractional coordinates of all 4 atoms:
Pr 0.250 0.250 0.250
Pr 0.750 0.750 0.750
Ac 0.000 0.000 0.000
Zn 0.500 0.500 0.500


Record 6
Pm3Dy4Pt4 after structural relaxation. Source: Alexandria via LeMat-Bulk, functional PBE.

As for the density of states at the Fermi level: 1.06 states/eV/atom. Its total energy is -6.05 eV per atom. The density comes out at 11.0 g/cm3. As for the spin magnetization: 0.000 μB per formula unit. The value obtained for the formation enthalpy at 0 K is -0.887 eV/atom. As for the space group: Immm, No. 71.

a = 4.591 Å, b = 7.838 Å, c = 9.029 Å
α = 115.73°, β = 104.73°, γ = 90.00°
Fractional coordinates of all 11 atoms:
Pm 0.101 0.101 0.203
Pm 0.899 0.899 0.797
Pm 0.000 0.500 0.000
Dy 0.329 0.118 0.658
Dy 0.671 0.460 0.342
Dy 0.671 0.882 0.342
Dy 0.329 0.540 0.658
Pt 0.209 0.709 0.418
Pt 0.791 0.291 0.582
Pt 0.500 0.815 0.000
Pt 0.500 0.185 0.000


Record 7
TbHg2Ge after structural relaxation. Source: Alexandria via LeMat-Bulk, functional PBE.

As for the density of states at the Fermi level: 0.65 states/eV/atom. Its total energy is -2.22 eV per atom. The density comes out at 10.0 g/cm3. As for the spin magnetization: 0.000 μB per formula unit. The value obtained for the formation enthalpy at 0 K is 0.242 eV/atom. As for the space group: R-3m, No. 166.

a = 3.344 Å, b = 3.344 Å, c = 11.057 Å
α = 81.30°, β = 81.30°, γ = 60.00°
Fractional coordinates of all 4 atoms:
Ge 0.500 0.500 0.500
Tb 0.000 0.000 0.000
Hg 0.094 0.094 0.719
Hg 0.906 0.906 0.281


Record 8
LiHPt2 after structural relaxation. Source: Alexandria via LeMat-Bulk, functional PBE.

As for the density of states at the Fermi level: 0.33 states/eV/atom. Its total energy is -4.41 eV per atom. The density comes out at 13.2 g/cm3. As for the spin magnetization: 0.000 μB per formula unit. As for the space group: R-3m, No. 166.

a = 2.755 Å, b = 2.755 Å, c = 7.762 Å
α = 79.78°, β = 79.78°, γ = 60.00°
Fractional coordinates of all 4 atoms:
H 0.500 0.500 0.500
Pt 0.106 0.106 0.683
Pt 0.894 0.894 0.317
Li 0.000 0.000 0.000


Record 9
LiH3Pd after structural relaxation. Source: Alexandria via LeMat-Bulk, functional PBE.

As for the density of states at the Fermi level: 0.31 states/eV/atom. Its total energy is -3.50 eV per atom. The density comes out at 3.4 g/cm3. As for the spin magnetization: 0.000 μB per formula unit. As for the space group: Cmcm, No. 63.

a = 8.415 Å, b = 8.415 Å, c = 4.876 Å
α = 90.00°, β = 90.00°, γ = 160.87°
Fractional coordinates of all 10 atoms:
H 0.883 0.386 0.250
H 0.614 0.117 0.250
H 0.386 0.883 0.750
H 0.117 0.614 0.750
H 0.000 0.000 0.000
H 0.000 0.000 0.500
Pd 0.460 0.540 0.250
Pd 0.540 0.460 0.750
Li 0.093 0.907 0.250
Li 0.907 0.093 0.750


Record 10
YZn11Pt after structural relaxation. Source: Alexandria via LeMat-Bulk, functional PBE.

As for the density of states at the Fermi level: 0.28 states/eV/atom. Its total energy is -2.31 eV per atom. The density comes out at 8.0 g/cm3. As for the spin magnetization: 0.000 μB per formula unit. The value obtained for the formation enthalpy at 0 K is -0.274 eV/atom. As for the space group: C2/m, No. 12.

a = 5.232 Å, b = 6.830 Å, c = 6.833 Å
α = 81.26°, β = 67.49°, γ = 66.63°
Fractional coordinates of all 13 atoms:
Y 0.000 0.000 0.000
Zn 0.280 0.215 0.218
Zn 0.720 0.785 0.782
Zn 0.501 0.785 0.218
Zn 0.499 0.215 0.782
Zn 0.364 0.646 0.647
Zn 0.636 0.354 0.353
Zn 0.988 0.354 0.647
Zn 0.012 0.646 0.353
Zn 0.000 0.500 0.000
Zn 0.500 0.000 0.500
Zn 0.000 0.000 0.500
Pt 0.500 0.500 0.000


Record 11
Mg3Ga3Rh after structural relaxation. Source: Alexandria via LeMat-Bulk, functional PBE.

As for the density of states at the Fermi level: 0.37 states/eV/atom. Its total energy is -3.36 eV per atom. The density comes out at 4.8 g/cm3. As for the spin magnetization: 0.000 μB per formula unit. The value obtained for the formation enthalpy at 0 K is -0.325 eV/atom. As for the space group: C2/m, No. 12.

a = 3.833 Å, b = 5.340 Å, c = 13.986 Å
α = 84.18°, β = 82.12°, γ = 68.97°
Fractional coordinates of all 14 atoms:
Mg 0.510 0.355 0.625
Mg 0.490 0.645 0.375
Mg 0.252 0.255 0.241
Mg 0.748 0.745 0.759
Mg 0.386 0.305 0.923
Mg 0.614 0.695 0.077
Ga 0.855 0.760 0.531
Ga 0.145 0.240 0.469
Ga 0.111 0.854 0.924
Ga 0.889 0.146 0.076
Ga 0.979 0.814 0.227
Ga 0.021 0.186 0.773
Rh 0.775 0.073 0.377
Rh 0.225 0.927 0.623


Record 12
SmTm4Mg5 after structural relaxation. Source: Alexandria via LeMat-Bulk, functional PBE.

As for the density of states at the Fermi level: 1.37 states/eV/atom. Its total energy is -3.12 eV per atom. The density comes out at 5.9 g/cm3. As for the spin magnetization: 0.000 μB per formula unit. The value obtained for the formation enthalpy at 0 K is -0.065 eV/atom. As for the space group: P4/mmm, No. 123.

a = 3.764 Å, b = 3.764 Å, c = 18.944 Å
α = 90.00°, β = 90.00°, γ = 90.00°
Fractional coordinates of all 10 atoms:
Sm 0.000 0.000 0.000
Tm 0.000 0.000 0.204
Tm 0.000 0.000 0.401
Tm 0.000 0.000 0.599
Tm 0.000 0.000 0.796
Mg 0.500 0.500 0.105
Mg 0.500 0.500 0.302
Mg 0.500 0.500 0.500
Mg 0.500 0.500 0.698
Mg 0.500 0.500 0.895


Which of these has the highest spin magnetization? PmY2Pu


Repeat the third record exactly.
SrHf2AgF after structural relaxation. Source: Alexandria via LeMat-Bulk, functional PBE.

Its uncorrected formation energy is -1.3 eV per formula unit. As for the density of states at the Fermi level: 0.92 states/eV/atom. Its total energy is -5.53 eV per atom. The density comes out at 8.2 g/cm3. As for the spin magnetization: 0.000 μB per formula unit. As for the space group: P4/mmm, No. 123.

a = 4.458 Å, b = 5.799 Å, c = 4.458 Å
α = 90.00°, β = 90.00°, γ = 90.00°
Fractional coordinates of all 5 atoms:
Sr 0.500 0.500 0.500
Hf 0.000 0.000 0.500
Hf 0.500 0.000 0.000
Ag 0.000 0.500 0.000
F 0.000 0.000 0.000